P | GGA-PBEsol ZrSc2Cu, relaxed; N(E_F) = 3.482 states/eV/f.u.; M_tot = 0.00 μB/f.u.
1.0
-3.227 0.377 -0.311
-0.541 -0.794 4.652
2.377 5.186 -1.263
Sc Cu Zr
2 1 1
Direct
0.962 0.462 0.924
0.752 0.752 0.504
0.252 0.252 0.505
0.533 0.033 0.067

Q | GGA-PBEsol ZrSc2Cu, relaxed; N(E_F) = 4.311 states/eV/f.u.; M_tot = 0.00 μB/f.u.
1.0
-2.009 -1.922 1.511
2.443 -1.655 1.143
0.237 4.668 6.254
Sc Cu Zr
2 1 1
Direct
0.000 0.000 0.712
0.000 0.000 0.288
0.500 0.500 0.500
0.500 0.500 0.000

Least stable structure among those shown: P.